This record from Alexandria describes a relaxed AcMgNb crystal. The functional is PBE.

The space group is P4/mmm (No. 123) and the conventional cell measures 3.814, 3.814 and 11.790 Å, with angles of 90.00, 90.00 and 90.00 degrees. Symmetry generates all atoms from Ac at (0.000, 0.000, 0.211), Mg at (0.000, 0.000, 0.500), Mg at (0.500, 0.500, 0.000) and Nb at (0.500, 0.500, 0.397).

Its crystal system is tetragonal. Its mass density is 6.67 Mg/m³. Its total moment is 0.000 μB per formula unit. The formation energy is 304 meV/atom.